Compound: LaCo2AgPd
Source: Alexandria
Functional: PBE
Structure: relaxed

```
data_LaCo2AgPd
_chemical_formula_sum 'La1 Co2 Ag1 Pd1'
_cell_length_a 4.730
_cell_length_b 5.361
_cell_length_c 4.730
_cell_angle_alpha 90.00
_cell_angle_beta 90.00
_cell_angle_gamma 90.00
_symmetry_space_group_name_H-M 'P 1'
_symmetry_Int_Tables_number 1
_symmetry_space_group_name_Hall 'P 1'
loop_
_atom_site_label
_atom_site_type_symbol
_atom_site_fract_x
_atom_site_fract_y
_atom_site_fract_z
_atom_site_occupancy
Co1 Co 0.000 0.000 0.500 1
Co2 Co 0.500 0.000 0.000 1
Pd1 Pd 0.000 0.000 0.000 1
Ag1 Ag 0.500 0.500 0.500 1
La1 La 0.000 0.500 0.000 1
```

Values from the calculation:
Its space group is P4/mmm (123).

---

Compound: LaPmCoAg
Source: Alexandria
Functional: PBE
Structure: relaxed

```
data_LaPmCoAg
_chemical_formula_sum 'La1 Pm1 Co1 Ag1'
_cell_length_a 5.144
_cell_length_b 5.144
_cell_length_c 5.144
_cell_angle_alpha 60.00
_cell_angle_beta 60.00
_cell_angle_gamma 60.00
_symmetry_space_group_name_H-M 'P 1'
_symmetry_Int_Tables_number 1
_symmetry_space_group_name_Hall 'P 1'
loop_
_atom_site_label
_atom_site_type_symbol
_atom_site_fract_x
_atom_site_fract_y
_atom_site_fract_z
_atom_site_occupancy
La1 La 0.250 0.250 0.250 1
Co1 Co 0.000 0.000 0.000 1
Ag1 Ag 0.500 0.500 0.500 1
Pm1 Pm 0.750 0.750 0.750 1
```

Values from the calculation:
Its space group is F-43m (216).

---

Compound: LaPr2CoAg
Source: Alexandria
Functional: PBE
Structure: relaxed

```
data_LaPr2CoAg
_chemical_formula_sum 'La1 Pr2 Co1 Ag1'
_cell_length_a 5.421
_cell_length_b 5.420
_cell_length_c 5.154
_cell_angle_alpha 90.00
_cell_angle_beta 90.00
_cell_angle_gamma 90.00
_symmetry_space_group_name_H-M 'P 1'
_symmetry_Int_Tables_number 1
_symmetry_space_group_name_Hall 'P 1'
loop_
_atom_site_label
_atom_site_type_symbol
_atom_site_fract_x
_atom_site_fract_y
_atom_site_fract_z
_atom_site_occupancy
La1 La 0.000 0.000 0.492 1
Pr1 Pr 0.000 0.500 0.985 1
Pr2 Pr 0.500 0.000 0.985 1
Co1 Co 0.000 0.000 0.005 1
Ag1 Ag 0.500 0.500 0.534 1
```

Values from the calculation:
Its space group is P4mm (99).

---

Compound: LaPrCoAg
Source: Alexandria
Functional: PBE
Structure: relaxed

```
data_LaPrCoAg
_chemical_formula_sum 'La1 Pr1 Co1 Ag1'
_cell_length_a 5.182
_cell_length_b 5.182
_cell_length_c 5.182
_cell_angle_alpha 60.00
_cell_angle_beta 60.00
_cell_angle_gamma 60.00
_symmetry_space_group_name_H-M 'P 1'
_symmetry_Int_Tables_number 1
_symmetry_space_group_name_Hall 'P 1'
loop_
_atom_site_label
_atom_site_type_symbol
_atom_site_fract_x
_atom_site_fract_y
_atom_site_fract_z
_atom_site_occupancy
Pr1 Pr 0.500 0.500 0.500 1
Co1 Co 0.250 0.250 0.250 1
Ag1 Ag 0.750 0.750 0.750 1
La1 La 0.000 0.000 0.000 1
```

Values from the calculation:
Its space group is F-43m (216).

---

Compound: La2ScCoAg
Source: Alexandria
Functional: PBE
Structure: relaxed

```
data_La2ScCoAg
_chemical_formula_sum 'La2 Sc1 Co1 Ag1'
_cell_length_a 5.295
_cell_length_b 5.295
_cell_length_c 4.944
_cell_angle_alpha 90.00
_cell_angle_beta 90.00
_cell_angle_gamma 90.00
_symmetry_space_group_name_H-M 'P 1'
_symmetry_Int_Tables_number 1
_symmetry_space_group_name_Hall 'P 1'
loop_
_atom_site_label
_atom_site_type_symbol
_atom_site_fract_x
_atom_site_fract_y
_atom_site_fract_z
_atom_site_occupancy
Sc1 Sc 0.000 0.000 0.500 1
Co1 Co 0.000 0.000 0.000 1
Ag1 Ag 0.500 0.500 0.500 1
La1 La 0.000 0.500 0.000 1
La2 La 0.500 0.000 0.000 1
```

Values from the calculation:
Its space group is P4/mmm (123).

---

Compound: LaSm2CoAg
Source: Alexandria
Functional: PBE
Structure: relaxed

```
data_LaSm2CoAg
_chemical_formula_sum 'La1 Sm2 Co1 Ag1'
_cell_length_a 5.310
_cell_length_b 5.311
_cell_length_c 5.230
_cell_angle_alpha 90.00
_cell_angle_beta 90.00
_cell_angle_gamma 90.00
_symmetry_space_group_name_H-M 'P 1'
_symmetry_Int_Tables_number 1
_symmetry_space_group_name_Hall 'P 1'
loop_
_atom_site_label
_atom_site_type_symbol
_atom_site_fract_x
_atom_site_fract_y
_atom_site_fract_z
_atom_site_occupancy
La1 La 0.000 0.000 0.487 1
Sm1 Sm 0.000 0.500 0.974 1
Sm2 Sm 0.500 0.000 0.974 1
Co1 Co 0.000 0.000 0.005 1
Ag1 Ag 0.500 0.500 0.560 1
```

Values from the calculation:
Its space group is P4mm (99).

---

Compound: La2Sm2CoAg2
Source: Alexandria
Functional: PBE
Structure: relaxed

```
data_La2Sm2CoAg2
_chemical_formula_sum 'La2 Sm2 Co1 Ag2'
_cell_length_a 4.533
_cell_length_b 6.707
_cell_length_c 7.695
_cell_angle_alpha 64.14
_cell_angle_beta 72.83
_cell_angle_gamma 90.00
_symmetry_space_group_name_H-M 'P 1'
_symmetry_Int_Tables_number 1
_symmetry_space_group_name_Hall 'P 1'
loop_
_atom_site_label
_atom_site_type_symbol
_atom_site_fract_x
_atom_site_fract_y
_atom_site_fract_z
_atom_site_occupancy
La1 La 0.199 0.200 0.602 1
La2 La 0.801 0.800 0.398 1
Sm1 Sm 0.500 0.252 0.000 1
Sm2 Sm 0.500 0.748 0.000 1
Co1 Co 0.000 0.000 0.000 1
Ag1 Ag 0.119 0.619 0.762 1
Ag2 Ag 0.881 0.381 0.238 1
```

Values from the calculation:
Its space group is Immm (71).

---

Compound: La2SmCoAg
Source: Alexandria
Functional: PBE
Structure: relaxed

```
data_La2SmCoAg
_chemical_formula_sum 'La2 Sm1 Co1 Ag1'
_cell_length_a 5.217
_cell_length_b 5.217
_cell_length_c 5.453
_cell_angle_alpha 90.00
_cell_angle_beta 90.00
_cell_angle_gamma 90.00
_symmetry_space_group_name_H-M 'P 1'
_symmetry_Int_Tables_number 1
_symmetry_space_group_name_Hall 'P 1'
loop_
_atom_site_label
_atom_site_type_symbol
_atom_site_fract_x
_atom_site_fract_y
_atom_site_fract_z
_atom_site_occupancy
La1 La 0.000 0.500 0.999 1
La2 La 0.500 0.000 0.000 1
Sm1 Sm 0.000 0.000 0.500 1
Co1 Co 0.000 0.000 0.000 1
Ag1 Ag 0.500 0.500 0.501 1
```

Values from the calculation:
Its space group is P4mm (99).

---

Compound: La4CoAgSn
Source: Alexandria
Functional: PBE
Structure: relaxed

```
data_La4CoAgSn
_chemical_formula_sum 'La8 Co2 Ag2 Sn2'
_cell_length_a 7.275
_cell_length_b 7.225
_cell_length_c 9.102
_cell_angle_alpha 90.00
_cell_angle_beta 113.55
_cell_angle_gamma 90.00
_symmetry_space_group_name_H-M 'P 1'
_symmetry_Int_Tables_number 1
_symmetry_space_group_name_Hall 'P 1'
loop_
_atom_site_label
_atom_site_type_symbol
_atom_site_fract_x
_atom_site_fract_y
_atom_site_fract_z
_atom_site_occupancy
La1 La 0.931 0.250 0.862 1
La2 La 0.425 0.750 0.850 1
La3 La 0.069 0.750 0.138 1
La4 La 0.575 0.250 0.150 1
La5 La 0.500 0.500 0.500 1
La6 La 0.000 0.000 0.500 1
La7 La 0.500 0.000 0.500 1
La8 La 0.000 0.500 0.500 1
Co1 Co 0.243 0.750 0.485 1
Co2 Co 0.757 0.250 0.515 1
Ag1 Ag 0.116 0.250 0.232 1
Ag2 Ag 0.884 0.750 0.768 1
Sn1 Sn 0.614 0.750 0.228 1
Sn2 Sn 0.386 0.250 0.772 1
```

Values from the calculation:
Its space group is Cmcm (63).

---

Compound: La2TbCoAg
Source: Alexandria
Functional: PBE
Structure: relaxed

```
data_La2TbCoAg
_chemical_formula_sum 'La2 Tb1 Co1 Ag1'
_cell_length_a 5.222
_cell_length_b 5.222
_cell_length_c 5.366
_cell_angle_alpha 90.00
_cell_angle_beta 90.00
_cell_angle_gamma 90.00
_symmetry_space_group_name_H-M 'P 1'
_symmetry_Int_Tables_number 1
_symmetry_space_group_name_Hall 'P 1'
loop_
_atom_site_label
_atom_site_type_symbol
_atom_site_fract_x
_atom_site_fract_y
_atom_site_fract_z
_atom_site_occupancy
La1 La 0.000 0.500 0.999 1
La2 La 0.500 0.000 0.999 1
Tb1 Tb 0.000 0.000 0.500 1
Co1 Co 0.000 0.000 0.000 1
Ag1 Ag 0.500 0.500 0.502 1
```

Values from the calculation:
Its space group is P4mm (99).

---

Compound: LaThCoAg
Source: Alexandria
Functional: PBE
Structure: relaxed

```
data_LaThCoAg
_chemical_formula_sum 'La1 Th1 Co1 Ag1'
_cell_length_a 4.023
_cell_length_b 4.029
_cell_length_c 7.923
_cell_angle_alpha 90.00
_cell_angle_beta 104.68
_cell_angle_gamma 120.04
_symmetry_space_group_name_H-M 'P 1'
_symmetry_Int_Tables_number 1
_symmetry_space_group_name_Hall 'P 1'
loop_
_atom_site_label
_atom_site_type_symbol
_atom_site_fract_x
_atom_site_fract_y
_atom_site_fract_z
_atom_site_occupancy
La1 La 0.501 0.148 0.665 1
Th1 Th 0.101 0.949 0.065 1
Co1 Co 0.312 0.554 0.881 1
Ag1 Ag 0.964 0.380 0.359 1
```

Values from the calculation:
Its space group is Cm (8).

---

Compound: La4TlCoAg
Source: Alexandria
Functional: PBE
Structure: relaxed

```
data_La4TlCoAg
_chemical_formula_sum 'La8 Tl2 Co2 Ag2'
_cell_length_a 7.331
_cell_length_b 7.325
_cell_length_c 8.998
_cell_angle_alpha 90.00
_cell_angle_beta 114.04
_cell_angle_gamma 90.00
_symmetry_space_group_name_H-M 'P 1'
_symmetry_Int_Tables_number 1
_symmetry_space_group_name_Hall 'P 1'
loop_
_atom_site_label
_atom_site_type_symbol
_atom_site_fract_x
_atom_site_fract_y
_atom_site_fract_z
_atom_site_occupancy
La1 La 0.932 0.250 0.864 1
La2 La 0.424 0.750 0.848 1
La3 La 0.068 0.750 0.136 1
La4 La 0.576 0.250 0.152 1
La5 La 0.500 0.500 0.500 1
La6 La 0.000 0.000 0.500 1
La7 La 0.500 0.000 0.500 1
La8 La 0.000 0.500 0.500 1
Tl1 Tl 0.614 0.750 0.229 1
Tl2 Tl 0.386 0.250 0.771 1
Co1 Co 0.245 0.750 0.491 1
Co2 Co 0.755 0.250 0.509 1
Ag1 Ag 0.119 0.250 0.239 1
Ag2 Ag 0.881 0.750 0.761 1
```

Values from the calculation:
Its space group is Cmcm (63).

---

| no. | E_form (eV/atom) |
| --- | --- |
| 1 | 0.710 |
| 2 | -0.063 |
| 3 | 0.005 |
| 4 | -0.042 |
| 5 | -0.071 |
| 6 | -0.019 |
| 7 | -0.144 |
| 8 | -0.048 |
| 9 | -0.300 |
| 10 | -0.061 |
| 11 | -0.151 |
| 12 | -0.172 |